Density functional theory data (PBE with a Hubbard U) for MgMoPO2 after structural relaxation.

Calculated values
- Symmetry: P4/mmm (123)
- D(E_F): 0.797 states/eV per cell
- VASP energy: -28.710 eV/cell
- Size of the total moment: 1.00 μB per cell

POSCAR file:
```
MgMoPO2
1.0
-1.305 -2.386 -2.740
-0.988 -2.569 2.707
-4.765 2.203 0.351
O Mg P Mo
2 1 1 1
direct
0.500 0.000 0.000
0.000 0.500 0.000
0.500 0.500 0.500
0.000 0.000 0.500
0.000 0.000 0.000
```